# 1
Computed, not measured: a relaxed Rb3Sn7Au2 crystal at the GGA-PBE level of DFT.

Results
calculated total energy	-3.214	eV per atom
energy of formation from the pure elements	-9	kJ/mol of atoms

```
12
Lattice="6.441 0.000 0.000 0.000 4.502 0.000 -2.108 0.000 13.594" Properties=species:S:1:pos:R:3 pbc="T T T"
Rb 0.000 0.000 0.000
Rb 1.030 0.000 8.310
Rb 3.303 0.000 5.284
Sn -0.041 2.251 5.507
Sn 0.294 0.000 3.455
Sn -0.443 2.251 10.902
Sn 3.221 2.251 0.000
Sn 4.776 2.251 2.692
Sn 4.039 0.000 10.139
Sn 4.374 2.251 8.087
Au 1.901 2.251 2.562
Au 2.432 2.251 11.032
```

# 2
Computed, not measured: a relaxed RbSnAu crystal at the GGA-PBE level of DFT.

Results
calculated total energy	-3.084	eV per atom
energy relative to the lowest polymorph listed for this composition	0.000	eV per atom
energy of formation from the pure elements	-32	kJ/mol of atoms

```
12
Lattice="8.384 0.000 0.000 0.000 5.098 0.000 0.000 0.000 9.950" Properties=species:S:1:pos:R:3 pbc="T T T"
Rb 0.806 1.274 1.427
Rb 3.386 3.823 6.402
Rb 4.998 1.274 3.548
Rb 7.578 3.823 8.523
Sn 0.214 3.823 4.193
Sn 3.978 1.274 9.167
Sn 4.406 3.823 0.782
Sn 8.170 1.274 5.757
Au 1.610 1.274 7.802
Au 2.582 3.823 2.827
Au 5.802 1.274 7.122
Au 6.774 3.823 2.147
```

| no. | size of the total moment (μB/cell) | calculated volume (Å³ per cell) |
| --- | --- | --- |
| 1 | 0.0 | 394.19 |
| 2 | 0.0 | 425.25 |